VASP calculation (PBE+U) on a geometry-optimized NaTc2MoO8 structure.

Results
DOS(E_F) = 2.72 states/eV per cell
SG = Cmmm, No. 65
Spin magnetization = 0.058 μB per atom
Uncorrected energy = -7.211 eV per atom

The structure in POSCAR format:
```
NaTc2MoO8
1.0
3.375 -3.550 0.000
3.375 3.550 0.000
0.000 0.000 5.951
Na Tc Mo O
1 2 1 8
Direct
0.000 0.000 0.000
0.500 0.500 0.264
0.500 0.500 0.736
0.000 0.000 0.500
0.219 0.219 0.286
0.219 0.219 0.714
0.288 0.712 0.500
0.334 0.666 0.000
0.666 0.334 0.000
0.712 0.288 0.500
0.781 0.781 0.286
0.781 0.781 0.714
```